No. 1
Compound: Ge3SbIr
Source: Alexandria
Functional: GGA-PBE
Structure: optimized geometry

Properties
N(E_F), states/eV per cell: 0.70
V, Å³ per atom: 22.9
Formation energy from raw total energies, kcal/mol of atoms: 4.5
E above lowest polymorph, eV per atom: 0.000
SG: No. 221
Total magnetic moment, μB/cell: 0.000
Raw total energy, Ha/atom: -0.1900

a b c (Å): 4.853 4.853 4.853
angles (deg): 90.00 90.00 90.00
Positions (direct):
Ir 0.000 0.000 0.000
Ge 0.000 0.000 0.500
Ge 0.000 0.500 0.000
Ge 0.500 0.000 0.000
Sb 0.500 0.500 0.500


No. 2
Compound: SmTl2Os3O12
Source: Alexandria
Functional: GGA-PBE
Structure: optimized geometry

Properties
N(E_F), states/eV per cell: 7.13
V, Å³ per atom: 16.4
Formation energy from raw total energies, kcal/mol of atoms: -29.1
SG: No. 166
Total magnetic moment, μB/cell: 1.651
Raw total energy, Ha/atom: -0.2559

a b c (Å): 7.611 7.611 7.611
angles (deg): 57.62 57.62 57.62
Last column: magnetic moment on the atom in μB.
Positions (direct):
O 0.625 0.087 0.087  0.11
O 0.913 0.913 0.375  0.11
Tl 0.343 0.343 0.343  0.01
O 0.703 0.076 0.703  -0.02
O 0.087 0.087 0.625  0.11
Tl 0.657 0.657 0.657  0.01
O 0.297 0.297 0.924  -0.02
O 0.076 0.703 0.703  -0.02
O 0.297 0.924 0.297  -0.02
O 0.924 0.297 0.297  -0.02
O 0.087 0.625 0.087  0.11
O 0.703 0.703 0.076  -0.02
Os 0.500 0.000 0.000  0.28
O 0.913 0.375 0.913  0.11
O 0.375 0.913 0.913  0.11
Os 0.000 0.500 0.000  0.28
Os 0.000 0.000 0.500  0.28
Sm 0.000 0.000 0.000  0.02